1.
Entry from Alexandria: an optimized crystal structure of CdPb2Br2 (GGA-PBE).

Structure (extended XYZ):
```
5
Lattice="-1.466 -0.766 4.174 -2.008 -3.765 -1.396 5.545 -6.789 3.117" Properties=species:S:1:pos:R:3 pbc="T T T"
Cd 0.000 0.000 0.000
Br -0.168 -3.241 1.761
Pb 0.900 -6.410 1.555
Pb 1.171 -4.910 4.340
Br 2.238 -8.080 4.133
```

## Properties
Calculated total energy: -12.4 eV for the cell shown
ΔE_f (raw): -0.138 eV/atom
Crystal system: tetragonal

=====

2.
Entry from Alexandria: an optimized crystal structure of EuErAlZn (GGA-PBE).

Structure (extended XYZ):
```
4
Lattice="5.180 0.000 0.000 2.590 4.486 0.000 2.590 1.495 4.229" Properties=species:S:1:pos:R:3 pbc="T T T"
Zn 0.000 0.000 0.000
Eu 2.590 1.495 1.057
Er 7.770 4.486 3.172
Al 5.180 2.991 2.115
```

## Properties
Formation enthalpy at 0 K: -0.27 eV per atom
Calculated total energy: -20.9 eV for the cell shown
Crystal system: cubic

=====

3.
Entry from Alexandria: an optimized crystal structure of BaSc2Pb (GGA-PBE).

Structure (extended XYZ):
```
4
Lattice="-2.698 1.603 2.024 1.235 -1.770 3.048 5.514 6.981 1.821" Properties=species:S:1:pos:R:3 pbc="T T T"
Sc 0.314 1.241 2.881
Sc 5.488 6.948 1.812
Pb 3.687 5.512 3.995
Ba 2.831 3.584 0.935
```

## Properties
Formation enthalpy at 0 K: -0.07 eV per atom
Calculated total energy: -18.6 eV for the cell shown
Crystal system: tetragonal

=====

4.
Entry from Alexandria: an optimized crystal structure of KH3Au (GGA-PBE).

Structure (extended XYZ):
```
10
Lattice="-7.998 11.953 12.001 -5.357 2.734 3.856 3.668 -5.830 -1.898" Properties=species:S:1:pos:R:3 pbc="T T T"
K -9.729 9.752 11.182
H -4.630 6.342 10.189
H -10.065 11.248 13.258
K 0.042 -0.894 2.777
H -3.916 4.312 7.596
H -5.771 4.545 6.363
H -5.057 2.515 3.770
Au -11.483 12.085 13.358
Au 1.796 -3.228 0.601
H 0.377 -2.391 0.701
```

## Properties
Calculated total energy: -30.4 eV for the cell shown
Crystal system: monoclinic

=====

5.
Entry from Alexandria: an optimized crystal structure of Ac3PmHg6 (GGA-PBE).

Structure (extended XYZ):
```
20
Lattice="5.449 0.000 0.000 0.000 9.394 -3.111 0.000 -0.103 11.906" Properties=species:S:1:pos:R:3 pbc="T T T"
Ac 4.087 4.559 5.843
Pm 4.087 0.529 4.605
Hg 4.087 1.199 7.794
Hg 4.087 7.148 3.689
Hg 4.087 2.995 2.629
Hg 1.362 2.143 5.106
Hg 1.362 0.392 10.280
Ac 4.087 6.107 0.542
Hg 4.087 8.900 -1.485
Hg 1.362 8.093 1.001
Pm 1.362 8.762 4.190
Hg 1.362 6.296 6.166
Hg 1.362 1.310 1.757
Ac 1.362 4.733 2.952
Hg 4.087 4.910 9.262
Hg 4.087 7.982 7.038
Ac 1.362 3.185 8.252
Ac 4.087 2.070 -0.552
Hg 1.362 4.382 -0.467
Ac 1.362 7.221 9.346
```

## Properties
Formation enthalpy at 0 K: -0.43 eV per atom
Calculated total energy: -46.4 eV for the cell shown
Crystal system: monoclinic

=====

6.
Entry from Alexandria: an optimized crystal structure of Li2VPbBr6 (GGA-PBE).

Structure (extended XYZ):
```
10
Lattice="-4.857 2.358 4.437 -5.811 -3.718 1.119 -0.646 -3.547 6.682" Properties=species:S:1:pos:R:3 pbc="T T T"
Li -5.802 -2.300 5.880
Pb -9.067 -3.064 8.215
Li -0.695 -3.496 6.602
Br -6.777 -3.693 3.744
Br -3.323 -3.782 6.144
Br -4.808 -1.518 8.489
V -3.495 -0.519 1.954
Br -4.451 -0.411 4.446
Br -6.514 -4.534 7.584
Br -8.042 -0.814 6.351
```

## Properties
Calculated total energy: -37.5 eV for the cell shown
ΔE_f (raw): -1.083 eV/atom
Crystal system: trigonal

=====

7.
Entry from Alexandria: an optimized crystal structure of MgScP2 (GGA-PBE).

Structure (extended XYZ):
```
8
Lattice="6.895 0.000 0.000 0.000 6.895 0.000 3.447 3.447 3.234" Properties=species:S:1:pos:R:3 pbc="T T T"
P 5.171 5.212 2.426
P 8.619 8.577 2.426
Sc 6.895 3.447 1.617
Sc 0.000 0.000 0.000
Mg 3.447 3.447 0.000
Mg 3.447 6.895 1.617
P 5.130 1.724 0.809
P 1.765 5.171 0.809
```

## Properties
Formation enthalpy at 0 K: -0.61 eV per atom
Calculated total energy: -42.4 eV for the cell shown
Crystal system: tetragonal

=====

8.
Entry from Alexandria: an optimized crystal structure of CrCdPtAu (GGA-PBE).

Structure (extended XYZ):
```
4
Lattice="4.609 0.000 0.000 2.305 3.992 0.000 2.305 1.331 3.763" Properties=species:S:1:pos:R:3 pbc="T T T"
Cd 0.000 0.000 0.000
Cr 4.609 2.661 1.882
Au 2.305 1.331 0.941
Pt 6.914 3.992 2.822
```

## Properties
Formation enthalpy at 0 K: -0.05 eV per atom
Calculated total energy: -20.1 eV for the cell shown
Crystal system: cubic

=====

9.
Entry from Alexandria: an optimized crystal structure of La2Er8Tm3 (GGA-PBE).

Structure (extended XYZ):
```
13
Lattice="5.393 0.000 0.684 0.001 7.566 -0.005 -1.329 -3.790 10.470" Properties=species:S:1:pos:R:3 pbc="T T T"
Er -0.327 0.003 2.579
Er 4.392 3.774 8.571
Er 4.480 -0.010 7.877
Tm 2.696 0.000 0.342
Er 1.646 -1.628 8.616
La 2.005 3.775 5.791
Er 2.418 5.405 2.533
Er 2.418 2.167 2.533
Tm 5.393 5.394 0.681
La 2.060 0.002 5.358
Er -0.415 3.786 3.273
Er 1.646 1.609 8.616
Tm -1.329 -1.618 10.468
```

## Properties
Formation enthalpy at 0 K: 0.24 eV per atom
Calculated total energy: -56.6 eV for the cell shown
Crystal system: monoclinic

=====

10.
Entry from Alexandria: an optimized crystal structure of AgSe (GGA-PBE).

Structure (extended XYZ):
```
2
Lattice="-0.221 -1.131 2.889 -2.858 -1.052 -0.630 1.615 -3.614 -1.292" Properties=species:S:1:pos:R:3 pbc="T T T"
Se -0.732 -2.898 0.483
Ag 0.000 0.000 0.000
```

## Properties
Calculated total energy: -6.0 eV for the cell shown
ΔE_f (raw): 0.189 eV/atom
Crystal system: tetragonal

=====

11.
Entry from Alexandria: an optimized crystal structure of PmZn3Sn3 (GGA-PBE).

Structure (extended XYZ):
```
14
Lattice="-0.207 6.325 3.703 -6.009 1.975 -3.709 -4.197 -3.140 5.127" Properties=species:S:1:pos:R:3 pbc="T T T"
Zn -3.601 -1.076 1.636
Zn -3.160 5.731 0.923
Pm 0.000 0.000 0.000
Zn -3.056 2.569 -0.929
Sn -2.254 3.174 5.341
Zn -1.153 2.377 3.134
Sn -2.150 0.011 3.490
Zn -6.605 -0.089 -0.218
Zn -3.251 0.808 5.697
Pm -5.206 2.580 2.561
Sn -6.152 -1.367 1.991
Sn -1.606 3.656 0.925
Sn -4.610 4.644 -0.930
Sn -4.054 0.203 -0.573
```

## Properties
Formation enthalpy at 0 K: 0.22 eV per atom
Calculated total energy: -38.0 eV for the cell shown
Crystal system: cubic

=====

12.
Entry from Alexandria: an optimized crystal structure of Li6CuPt2 (GGA-PBE).

Structure (extended XYZ):
```
9
Lattice="4.666 -0.257 -0.149 -0.375 5.035 -2.056 -0.375 0.726 5.390" Properties=species:S:1:pos:R:3 pbc="T T T"
Li 0.593 4.631 0.255
Li 0.593 2.528 3.888
Pt 0.694 2.112 1.222
Cu 0.000 0.000 0.000
Li 1.127 4.519 2.615
Pt 3.221 3.392 1.963
Li 3.322 2.975 -0.703
Li 3.322 0.873 2.930
Li 2.788 0.985 0.570
```

## Properties
Formation enthalpy at 0 K: -0.28 eV per atom
Calculated total energy: -30.1 eV for the cell shown
Crystal system: monoclinic

=====

13.
Entry from Alexandria: an optimized crystal structure of Pm3Si2Pb (GGA-PBE).

Structure (extended XYZ):
```
12
Lattice="-2.005 -7.436 -1.188 -2.304 -4.199 6.147 -7.542 -1.888 0.526" Properties=species:S:1:pos:R:3 pbc="T T T"
Si -4.046 -4.617 1.873
Pm -8.897 -5.978 3.623
Pm -5.183 -4.409 4.775
Pm -2.955 -7.544 1.862
Pb 0.000 0.000 0.000
Si -1.879 -2.144 0.870
Si -7.805 -8.905 3.612
Pm -6.668 -9.113 0.709
Pb -5.926 -6.761 2.742
Pm -5.175 -8.573 5.266
Pm -6.676 -4.949 0.219
Si -9.972 -11.378 4.615
```

## Properties
Calculated total energy: -63.8 eV for the cell shown
ΔE_f (raw): -0.512 eV/atom
Crystal system: trigonal

=====

14.
Entry from Alexandria: an optimized crystal structure of TaIn2GaSe (GGA-PBE).

Structure (extended XYZ):
```
5
Lattice="5.115 0.000 0.000 0.000 4.988 0.000 0.000 0.000 5.115" Properties=species:S:1:pos:R:3 pbc="T T T"
In 0.000 0.000 2.557
Ta 0.000 2.494 0.000
Se 2.557 2.494 2.557
Ga 0.000 0.000 0.000
In 2.557 0.000 0.000
```

## Properties
Calculated total energy: -19.5 eV for the cell shown
ΔE_f (raw): 0.866 eV/atom
Crystal system: tetragonal

=====

15.
Entry from Alexandria: an optimized crystal structure of LiLuSi (GGA-PBE).

Structure (extended XYZ):
```
3
Lattice="-0.150 -0.490 -3.313 2.529 -3.520 0.406 -4.329 -0.389 0.254" Properties=species:S:1:pos:R:3 pbc="T T T"
Li 0.218 -2.558 -0.198
Lu -2.143 -1.759 -1.905
Si -0.025 -0.082 -0.552
```

## Properties
Calculated total energy: -13.2 eV for the cell shown
ΔE_f (raw): -0.434 eV/atom
Crystal system: hexagonal

=====

16.
Entry from Alexandria: an optimized crystal structure of VHg (GGA-PBE).

Structure (extended XYZ):
```
4
Lattice="4.739 0.000 0.000 -2.370 4.104 0.000 0.000 0.000 5.566" Properties=species:S:1:pos:R:3 pbc="T T T"
V 2.370 1.368 4.174
Hg 2.370 1.368 1.391
Hg 0.000 2.736 4.174
V 0.000 2.736 1.391
```

## Properties
Formation enthalpy at 0 K: 1.17 eV per atom
Calculated total energy: -14.2 eV for the cell shown
Crystal system: hexagonal

=====

17.
Entry from Alexandria: an optimized crystal structure of BeCr2Ga (GGA-PBE).

Structure (extended XYZ):
```
8
Lattice="-1.717 0.950 2.749 -2.377 -2.297 -0.691 2.296 -6.601 5.790" Properties=species:S:1:pos:R:3 pbc="T T T"
Cr -0.768 -1.359 3.033
Ga -0.734 -3.162 4.784
Cr -1.821 -6.092 6.154
Be -1.064 -4.786 3.064
Be -2.047 -0.674 1.029
Ga 0.000 0.000 0.000
Cr -1.155 -2.951 1.405
Cr 0.147 -5.494 5.103
```

## Properties
Formation enthalpy at 0 K: 0.51 eV per atom
Calculated total energy: -47.9 eV for the cell shown
Crystal system: tetragonal

=====

18.
Entry from Alexandria: an optimized crystal structure of DyPaAl (GGA-PBE).

Structure (extended XYZ):
```
3
Lattice="3.196 0.000 0.000 0.000 3.196 0.000 -1.598 -1.598 7.111" Properties=species:S:1:pos:R:3 pbc="T T T"
Al 1.598 1.598 2.390
Pa 0.000 0.000 4.547
Dy 0.000 0.000 0.174
```

## Properties
Formation enthalpy at 0 K: -0.06 eV per atom
Calculated total energy: -18.0 eV for the cell shown
Crystal system: tetragonal

=====

19.
Entry from Alexandria: an optimized crystal structure of Co6P7 (GGA-PBE).

Structure (extended XYZ):
```
13
Lattice="8.209 0.062 0.038 6.718 4.719 0.038 6.718 2.152 4.200" Properties=species:S:1:pos:R:3 pbc="T T T"
P 12.467 3.993 3.942
Co 7.251 2.322 1.433
Co 3.842 1.231 0.759
Co 20.241 6.483 3.999
P 8.410 4.016 2.477
P 9.178 2.939 0.334
P 10.823 3.466 2.138
P 12.467 5.315 1.799
P 9.178 1.617 2.477
Co 14.395 4.610 2.844
P 13.235 2.917 1.799
Co 1.404 0.450 0.277
Co 17.803 5.702 3.517
```

## Properties
Formation enthalpy at 0 K: 0.35 eV per atom
Calculated total energy: -76.0 eV for the cell shown
Crystal system: trigonal